1.
{
  "formula": "Er2MgHg2",
  "functional": "PBE",
  "state": "relaxed",
  "cell": [[8.058, 0.000, 0.000], [0.000, 8.058, 0.000], [0.000, 0.000, 3.908]],
  "species": ["Er", "Er", "Er", "Er", "Mg", "Mg", "Hg", "Hg", "Hg", "Hg"],
  "frac_coords": [[0.164, 0.336, 0.000], [0.336, 0.836, 0.000], [0.664, 0.164, 0.000], [0.836, 0.664, 0.000], [0.000, 0.000, 0.500], [0.500, 0.500, 0.500], [0.136, 0.636, 0.500], [0.364, 0.136, 0.500], [0.636, 0.864, 0.500], [0.864, 0.364, 0.500]],
  "spacegroup": "P4/mbm (127)",
  "formation_enthalpy_0k_mev_per_atom": -396
}

2.
{
  "formula": "Li4DyHo3Te8",
  "functional": "PBE",
  "state": "relaxed",
  "cell": [[4.332, 2.501, 7.057], [-4.332, 2.501, 7.057], [0.000, -5.002, 7.057]],
  "species": ["Li", "Li", "Li", "Li", "Dy", "Ho", "Ho", "Ho", "Te", "Te", "Te", "Te", "Te", "Te", "Te", "Te"],
  "frac_coords": [[0.000, 0.000, 0.000], [0.000, 0.500, 0.500], [0.500, 0.000, 0.500], [0.500, 0.500, 0.000], [0.500, 0.500, 0.500], [0.000, 0.000, 0.500], [0.000, 0.500, 0.000], [0.500, 0.000, 0.000], [0.248, 0.248, 0.749], [0.248, 0.749, 0.248], [0.251, 0.251, 0.251], [0.251, 0.752, 0.752], [0.749, 0.248, 0.248], [0.749, 0.749, 0.749], [0.752, 0.251, 0.752], [0.752, 0.752, 0.251]],
  "spacegroup": "R-3m (166)",
  "raw_formation_energy_kj_per_mol_atoms": -124.2
}

3.
{
  "formula": "LaYNi2",
  "functional": "PBE",
  "state": "relaxed",
  "cell": [[4.402, 0.000, 0.000], [0.000, 1.875, 5.209], [0.000, -1.875, 5.209]],
  "species": ["La", "Y", "Ni", "Ni"],
  "frac_coords": [[0.000, 0.000, 0.000], [0.500, 0.726, 0.726], [0.000, 0.285, 0.285], [0.500, 0.434, 0.434]],
  "spacegroup": "Amm2 (38)",
  "de_polymorph_mev_per_atom": 0.0,
  "formation_enthalpy_0k_mev_per_atom": -370
}

4.
{
  "formula": "CaTlP2Cl",
  "functional": "PBE",
  "state": "relaxed",
  "cell": [[5.523, 0.000, 0.000], [0.000, 5.523, 0.000], [0.000, 0.000, 5.326]],
  "species": ["Ca", "Tl", "P", "P", "Cl"],
  "frac_coords": [[0.000, 0.000, 0.000], [0.500, 0.500, 0.500], [0.000, 0.500, 0.000], [0.500, 0.000, 0.000], [0.000, 0.000, 0.500]],
  "spacegroup": "P4/mmm (123)",
  "de_polymorph_mev_per_atom": 0.0,
  "raw_formation_energy_kj_per_mol_atoms": 7.6
}

5.
{
  "formula": "LiGa5Co4",
  "functional": "PBE",
  "state": "relaxed",
  "cell": [[2.917, 0.000, 0.000], [0.000, 2.917, 0.000], [0.000, 0.000, 14.571]],
  "species": ["Li", "Ga", "Ga", "Ga", "Ga", "Ga", "Co", "Co", "Co", "Co"],
  "frac_coords": [[0.000, 0.000, 0.000], [0.500, 0.500, 0.110], [0.500, 0.500, 0.304], [0.500, 0.500, 0.500], [0.500, 0.500, 0.696], [0.500, 0.500, 0.890], [0.000, 0.000, 0.206], [0.000, 0.000, 0.403], [0.000, 0.000, 0.597], [0.000, 0.000, 0.794]],
  "spacegroup": "P4/mmm (123)",
  "formation_enthalpy_0k_mev_per_atom": -273
}

6.
{
  "formula": "Mg5In12Ru3",
  "functional": "PBE",
  "state": "relaxed",
  "cell": [[-8.223, 8.223, 8.223], [8.223, -8.223, 8.223], [8.223, 8.223, -8.223]],
  "species": ["Mg", "Mg", "Mg", "Mg", "Mg", "Mg", "Mg", "Mg", "Mg", "Mg", "Mg", "Mg", "Mg", "Mg", "Mg", "Mg", "Mg", "Mg", "Mg", "Mg", "In", "In", "In", "In", "In", "In", "In", "In", "In", "In", "In", "In", "In", "In", "In", "In", "In", "In", "In", "In", "In", "In", "In", "In", "In", "In", "In", "In", "In", "In", "In", "In", "In", "In", "In", "In", "In", "In", "In", "In", "In", "In", "In", "In", "In", "In", "In", "In", "Ru", "Ru", "Ru", "Ru", "Ru", "Ru", "Ru", "Ru", "Ru", "Ru", "Ru", "Ru"],
  "frac_coords": [[0.000, 0.000, 0.000], [0.000, 0.000, 0.500], [0.000, 0.500, 0.000], [0.000, 0.500, 0.500], [0.125, 0.750, 0.875], [0.125, 0.875, 0.250], [0.250, 0.125, 0.875], [0.250, 0.625, 0.375], [0.375, 0.250, 0.625], [0.375, 0.625, 0.750], [0.500, 0.000, 0.000], [0.500, 0.000, 0.500], [0.500, 0.500, 0.000], [0.500, 0.500, 0.500], [0.625, 0.375, 0.250], [0.625, 0.750, 0.375], [0.750, 0.375, 0.625], [0.750, 0.875, 0.125], [0.875, 0.125, 0.750], [0.875, 0.250, 0.125], [0.064, 0.639, 0.400], [0.064, 0.925, 0.663], [0.075, 0.238, 0.139], [0.075, 0.337, 0.936], [0.100, 0.738, 0.663], [0.100, 0.861, 0.436], [0.139, 0.075, 0.238], [0.139, 0.564, 0.900], [0.163, 0.238, 0.600], [0.163, 0.425, 0.564], [0.238, 0.139, 0.075], [0.238, 0.600, 0.163], [0.262, 0.337, 0.900], [0.262, 0.425, 0.361], [0.337, 0.900, 0.262], [0.337, 0.936, 0.075], [0.361, 0.262, 0.425], [0.361, 0.600, 0.936], [0.400, 0.064, 0.639], [0.400, 0.837, 0.762], [0.425, 0.361, 0.262], [0.425, 0.564, 0.163], [0.436, 0.100, 0.861], [0.436, 0.837, 0.575], [0.564, 0.163, 0.425], [0.564, 0.900, 0.139], [0.575, 0.436, 0.837], [0.575, 0.639, 0.738], [0.600, 0.163, 0.238], [0.600, 0.936, 0.361], [0.639, 0.400, 0.064], [0.639, 0.738, 0.575], [0.663, 0.064, 0.925], [0.663, 0.100, 0.738], [0.738, 0.575, 0.639], [0.738, 0.663, 0.100], [0.762, 0.400, 0.837], [0.762, 0.861, 0.925], [0.837, 0.575, 0.436], [0.837, 0.762, 0.400], [0.861, 0.436, 0.100], [0.861, 0.925, 0.762], [0.900, 0.139, 0.564], [0.900, 0.262, 0.337], [0.925, 0.663, 0.064], [0.925, 0.762, 0.861], [0.936, 0.075, 0.337], [0.936, 0.361, 0.600], [0.125, 0.250, 0.375], [0.125, 0.375, 0.750], [0.250, 0.375, 0.125], [0.250, 0.875, 0.625], [0.375, 0.125, 0.250], [0.375, 0.750, 0.125], [0.625, 0.250, 0.875], [0.625, 0.875, 0.750], [0.750, 0.125, 0.375], [0.750, 0.625, 0.875], [0.875, 0.625, 0.250], [0.875, 0.750, 0.625]],
  "spacegroup": "Ia-3d (230)",
  "formation_enthalpy_0k_mev_per_atom": 386
}

7.
{
  "formula": "Ba3CrPt",
  "functional": "PBE",
  "state": "relaxed",
  "cell": [[6.120, 0.000, 0.000], [0.000, 6.120, 0.000], [0.000, 0.000, 6.120]],
  "species": ["Ba", "Ba", "Ba", "Cr", "Pt"],
  "frac_coords": [[0.000, 0.000, 0.500], [0.000, 0.500, 0.000], [0.500, 0.000, 0.000], [0.500, 0.500, 0.500], [0.000, 0.000, 0.000]],
  "spacegroup": "Pm-3m (221)",
  "de_polymorph_mev_per_atom": 0.0,
  "formation_enthalpy_0k_mev_per_atom": 643
}

8.
{
  "formula": "Pr6Nd2SmDy",
  "functional": "PBE",
  "state": "relaxed",
  "cell": [[4.663, -7.748, 0.000], [4.663, 7.748, 0.000], [-1.512, 0.000, 9.847]],
  "species": ["Pr", "Pr", "Pr", "Pr", "Pr", "Pr", "Pr", "Pr", "Pr", "Pr", "Pr", "Pr", "Nd", "Nd", "Nd", "Nd", "Sm", "Sm", "Dy", "Dy"],
  "frac_coords": [[0.013, 0.571, 0.189], [0.118, 0.751, 0.554], [0.249, 0.882, 0.946], [0.295, 0.504, 0.381], [0.429, 0.987, 0.311], [0.496, 0.705, 0.119], [0.504, 0.295, 0.881], [0.571, 0.013, 0.689], [0.705, 0.496, 0.619], [0.751, 0.118, 0.054], [0.882, 0.249, 0.446], [0.987, 0.429, 0.811], [0.195, 0.294, 0.043], [0.294, 0.195, 0.543], [0.706, 0.805, 0.457], [0.805, 0.706, 0.957], [0.020, 0.980, 0.250], [0.980, 0.020, 0.750], [0.408, 0.592, 0.750], [0.592, 0.408, 0.250]],
  "spacegroup": "C2/c (15)",
  "formation_enthalpy_0k_mev_per_atom": 111
}

9.
{
  "formula": "V6Co5Ru",
  "functional": "PBE",
  "state": "relaxed",
  "cell": [[-2.066, 2.914, 6.198], [2.066, -2.914, 6.198], [2.066, 2.914, -6.198]],
  "species": ["V", "V", "V", "V", "V", "V", "Co", "Co", "Co", "Co", "Co", "Ru"],
  "frac_coords": [[0.076, 0.330, 0.746], [0.243, 0.000, 0.243], [0.417, 0.670, 0.746], [0.583, 0.330, 0.254], [0.757, 0.000, 0.757], [0.924, 0.670, 0.254], [0.000, 0.500, 0.500], [0.165, 0.165, 0.000], [0.335, 0.835, 0.500], [0.665, 0.165, 0.500], [0.835, 0.835, 0.000], [0.500, 0.500, 0.000]],
  "spacegroup": "Immm (71)",
  "formation_enthalpy_0k_mev_per_atom": -105
}

10.
{
  "formula": "Y7Tm3Zr",
  "functional": "PBE",
  "state": "relaxed",
  "cell": [[3.433, -9.067, 0.000], [3.433, 9.067, 0.000], [-3.396, 0.000, 5.534]],
  "species": ["Y", "Y", "Y", "Y", "Y", "Y", "Y", "Tm", "Tm", "Tm", "Zr"],
  "frac_coords": [[0.000, 0.000, 0.000], [0.063, 0.382, 0.438], [0.382, 0.063, 0.438], [0.414, 0.586, 0.000], [0.586, 0.414, 0.000], [0.618, 0.937, 0.562], [0.937, 0.618, 0.562], [0.000, 0.000, 0.500], [0.000, 0.500, 0.000], [0.500, 0.000, 0.000], [0.500, 0.500, 0.500]],
  "spacegroup": "C2/m (12)",
  "formation_enthalpy_0k_mev_per_atom": 154
}

11.
{
  "formula": "ScGa6Ag",
  "functional": "PBE",
  "state": "relaxed",
  "cell": [[3.414, -4.918, 0.000], [3.414, 4.918, 0.000], [0.000, 0.000, 4.370]],
  "species": ["Sc", "Ga", "Ga", "Ga", "Ga", "Ga", "Ga", "Ag"],
  "frac_coords": [[0.000, 0.000, 0.000], [0.000, 0.500, 0.000], [0.213, 0.787, 0.500], [0.286, 0.286, 0.500], [0.500, 0.000, 0.000], [0.714, 0.714, 0.500], [0.787, 0.213, 0.500], [0.500, 0.500, 0.000]],
  "spacegroup": "Cmmm (65)",
  "formation_enthalpy_0k_mev_per_atom": -174
}

12.
{
  "formula": "CaHg",
  "functional": "PBE",
  "state": "relaxed",
  "cell": [[6.125, 0.000, 0.000], [0.000, 6.125, 0.000], [0.000, 0.000, 6.125]],
  "species": ["Ca", "Ca", "Ca", "Ca", "Hg", "Hg", "Hg", "Hg"],
  "frac_coords": [[0.080, 0.420, 0.580], [0.420, 0.580, 0.080], [0.580, 0.080, 0.420], [0.920, 0.920, 0.920], [0.085, 0.915, 0.415], [0.415, 0.085, 0.915], [0.585, 0.585, 0.585], [0.915, 0.415, 0.085]],
  "spacegroup": "P2_13 (198)",
  "formation_enthalpy_0k_mev_per_atom": -466
}